LaNi2TeIr: relaxed, PBE-GGA.

Unit cell a=4.6717 b=4.6717 c=5.2009 alpha=90.00 beta=90.00 gamma=90.00
Fractional positions:
1 La 0.0000 0.0000 0.0000
2 Ni 0.0000 0.5000 0.5000
3 Ni 0.5000 0.0000 0.5000
4 Te 0.5000 0.5000 0.0000
5 Ir 0.5000 0.5000 0.5000

ΔE_f (raw) = 0.07 eV/atom

***

K2MgFe: relaxed, PBE-GGA.

Unit cell a=4.9324 b=4.9324 c=9.7574 alpha=94.48 beta=94.48 gamma=40.44
Fractional positions:
1 K 0.0000 0.0000 0.0000
2 K 0.2185 0.2185 0.5910
3 Mg 0.4646 0.4646 0.3289
4 Fe 0.7405 0.7405 0.2604

Excess energy over the best structure of this formula in the dataset = 0.091 eV/atom

***

NaLi4Mg3: relaxed, PBE-GGA.

Unit cell a=4.8334 b=4.8334 c=7.5328 alpha=90.00 beta=90.00 gamma=90.00
Fractional positions:
1 Na 0.0000 0.0000 0.0000
2 Li 0.0000 0.5000 0.2617
3 Li 0.0000 0.5000 0.7383
4 Li 0.5000 0.0000 0.2617
5 Li 0.5000 0.0000 0.7383
6 Mg 0.0000 0.0000 0.5000
7 Mg 0.5000 0.5000 0.0000
8 Mg 0.5000 0.5000 0.5000

Uncorrected energy = -1.72 eV per atom

***

Th4SbPb2Se: relaxed, PBE-GGA.

Unit cell a=7.7045 b=4.4976 c=7.7913 alpha=90.00 beta=109.71 gamma=90.00
Fractional positions:
1 Th 0.2339 0.0000 0.2368
2 Th 0.2407 0.5000 0.7541
3 Th 0.7593 0.5000 0.2459
4 Th 0.7661 0.0000 0.7632
5 Sb 0.0000 0.0000 0.5000
6 Pb 0.5000 0.0000 0.0000
7 Pb 0.5000 0.5000 0.5000
8 Se 0.0000 0.5000 0.0000

ΔE_f (raw) = -0.72 eV/atom